<i>
{
  "formula": "Cs2UCl7",
  "functional": "GGA-PBE",
  "state": "relaxed",
  "cell": [[0.0000, 5.8247, 5.8247], [5.8247, 0.0000, 5.8247], [5.8247, 5.8247, 0.0000]],
  "species": ["Cs", "Cs", "U", "Cl", "Cl", "Cl", "Cl", "Cl", "Cl", "Cl"],
  "fractional_positions": [[0.2500, 0.2500, 0.2500], [0.7500, 0.7500, 0.7500], [0.0000, 0.0000, 0.0000], [0.2190, 0.2190, 0.7810], [0.2190, 0.7810, 0.2190], [0.2190, 0.7810, 0.7810], [0.5000, 0.5000, 0.5000], [0.7810, 0.2190, 0.2190], [0.7810, 0.2190, 0.7810], [0.7810, 0.7810, 0.2190]],
  "magnetic_moment_mub_per_fu": 1.23
}

***

<ii>
{
  "formula": "Cs2UCl7",
  "functional": "GGA-PBE",
  "state": "relaxed",
  "cell": [[9.0324, -4.3214, 0.0000], [9.0324, 4.3214, 0.0000], [-8.1190, 0.0000, 9.5595]],
  "species": ["Cs", "Cs", "Cs", "Cs", "U", "U", "Cl", "Cl", "Cl", "Cl", "Cl", "Cl", "Cl", "Cl", "Cl", "Cl", "Cl", "Cl", "Cl", "Cl"],
  "fractional_positions": [[0.0015, 0.7058, 0.7689], [0.2942, 0.9985, 0.7311], [0.7058, 0.0015, 0.2689], [0.9985, 0.2942, 0.2311], [0.2996, 0.7004, 0.2500], [0.7004, 0.2996, 0.7500], [0.0404, 0.1159, 0.9132], [0.1159, 0.0404, 0.4132], [0.1958, 0.5965, 0.3207], [0.2263, 0.4631, 0.9985], [0.3970, 0.6030, 0.7500], [0.4035, 0.8042, 0.1793], [0.4631, 0.2263, 0.4985], [0.5369, 0.7737, 0.5015], [0.5965, 0.1958, 0.8207], [0.6030, 0.3970, 0.2500], [0.7737, 0.5369, 0.0015], [0.8042, 0.4035, 0.6793], [0.8841, 0.9596, 0.5868], [0.9596, 0.8841, 0.0868]],
  "magnetic_moment_mub_per_fu": 1.00
}

***

Which structure is most stable? <ii>, by 96 meV/atom over the runner-up.

***

<i>
{
  "formula": "CsUCl4",
  "functional": "GGA-PBE",
  "state": "relaxed",
  "cell": [[4.4541, -7.3715, 0.0000], [4.4541, 7.3715, 0.0000], [-1.6241, 0.0000, 6.3274]],
  "species": ["Cs", "Cs", "U", "U", "Cl", "Cl", "Cl", "Cl", "Cl", "Cl", "Cl", "Cl"],
  "fractional_positions": [[0.1433, 0.8567, 0.7500], [0.8567, 0.1433, 0.2500], [0.5003, 0.4997, 0.2500], [0.4997, 0.5003, 0.7500], [0.1878, 0.3034, 0.9141], [0.2572, 0.5521, 0.4670], [0.3034, 0.1878, 0.4141], [0.4479, 0.7428, 0.0330], [0.5521, 0.2572, 0.9670], [0.6966, 0.8122, 0.5859], [0.7428, 0.4479, 0.5330], [0.8122, 0.6966, 0.0859]],
  "magnetic_moment_mub_per_fu": 3.00
}

***

<ii>
{
  "formula": "CsUCl4",
  "functional": "GGA-PBE",
  "state": "relaxed",
  "cell": [[5.1198, -7.8286, 0.0000], [5.1198, 7.8286, 0.0000], [-4.0280, 0.0000, 5.8621]],
  "species": ["Cs", "Cs", "U", "U", "Cl", "Cl", "Cl", "Cl", "Cl", "Cl", "Cl", "Cl"],
  "fractional_positions": [[0.1442, 0.8558, 0.7500], [0.8558, 0.1442, 0.2500], [0.4213, 0.5787, 0.2500], [0.5787, 0.4213, 0.7500], [0.1491, 0.5507, 0.3174], [0.2615, 0.3326, 0.7894], [0.3326, 0.2615, 0.2894], [0.4493, 0.8509, 0.1826], [0.5507, 0.1491, 0.8174], [0.6674, 0.7385, 0.7106], [0.7385, 0.6674, 0.2106], [0.8509, 0.4493, 0.6826]],
  "magnetic_moment_mub_per_fu": 3.00
}

***

Which structure is most stable? <i>, by 18 meV/atom over the runner-up.

***

<i>
{
  "formula": "Cs2VCl5",
  "functional": "GGA-PBE",
  "state": "relaxed",
  "cell": [[7.5516, 0.0000, 0.0000], [0.0000, 7.5516, 0.0000], [0.0000, 0.0000, 4.9144]],
  "species": ["Cs", "Cs", "V", "Cl", "Cl", "Cl", "Cl", "Cl"],
  "fractional_positions": [[0.0000, 0.5000, 0.0000], [0.5000, 0.0000, 0.0000], [0.0000, 0.0000, 0.5000], [0.0000, 0.0000, 0.0000], [0.2232, 0.2232, 0.5000], [0.2232, 0.7768, 0.5000], [0.7768, 0.2232, 0.5000], [0.7768, 0.7768, 0.5000]],
  "magnetic_moment_mub_per_fu": 2.00
}

***

<ii>
{
  "formula": "Cs2VCl5",
  "functional": "GGA-PBE",
  "state": "relaxed",
  "cell": [[-3.8898, 3.8898, 4.8202], [3.8898, -3.8898, 4.8202], [3.8898, 3.8898, -4.8202]],
  "species": ["Cs", "Cs", "V", "Cl", "Cl", "Cl", "Cl", "Cl"],
  "fractional_positions": [[0.0000, 0.5000, 0.5000], [0.5000, 0.0000, 0.5000], [0.2930, 0.2930, 0.0000], [0.0348, 0.0348, 0.5780], [0.0348, 0.4568, 0.0000], [0.4568, 0.0348, 0.0000], [0.4568, 0.4568, 0.4220], [0.5242, 0.5242, 0.0000]],
  "magnetic_moment_mub_per_fu": 2.00
}

***

Which structure is most stable? <i>, by 22 meV/atom over the runner-up.

***

<i>
{
  "formula": "Cs2VCl7",
  "functional": "GGA-PBE",
  "state": "relaxed",
  "cell": [[8.5971, -3.7991, 0.0000], [8.5971, 3.7991, 0.0000], [-8.3413, 0.0000, 10.2333]],
  "species": ["Cs", "Cs", "Cs", "Cs", "V", "V", "Cl", "Cl", "Cl", "Cl", "Cl", "Cl", "Cl", "Cl", "Cl", "Cl", "Cl", "Cl", "Cl", "Cl"],
  "fractional_positions": [[0.0552, 0.6708, 0.9515], [0.3292, 0.9448, 0.5485], [0.6708, 0.0552, 0.4515], [0.9448, 0.3292, 0.0485], [0.2743, 0.7257, 0.7500], [0.7257, 0.2743, 0.2500], [0.0810, 0.1089, 0.2710], [0.1089, 0.0810, 0.7710], [0.2004, 0.6472, 0.5318], [0.2214, 0.4644, 0.6940], [0.3528, 0.7996, 0.9682], [0.4064, 0.5936, 0.2500], [0.4644, 0.2214, 0.1940], [0.5356, 0.7786, 0.8060], [0.5936, 0.4064, 0.7500], [0.6472, 0.2004, 0.0318], [0.7786, 0.5356, 0.3060], [0.7996, 0.3528, 0.4682], [0.8911, 0.9190, 0.2290], [0.9190, 0.8911, 0.7290]],
  "magnetic_moment_mub_per_fu": 1.15
}

***

<ii>
{
  "formula": "Cs2VCl7",
  "functional": "GGA-PBE",
  "state": "relaxed",
  "cell": [[-3.9151, 3.9151, 5.5014], [3.9151, -3.9151, 5.5014], [3.9151, 3.9151, -5.5014]],
  "species": ["Cs", "Cs", "V", "Cl", "Cl", "Cl", "Cl", "Cl", "Cl", "Cl"],
  "fractional_positions": [[0.2500, 0.7500, 0.5000], [0.7500, 0.2500, 0.5000], [0.0000, 0.0000, 0.0000], [0.2077, 0.2077, 0.4154], [0.2077, 0.7923, 0.0000], [0.2086, 0.2086, 0.0000], [0.5000, 0.5000, 0.0000], [0.7914, 0.7914, 0.0000], [0.7923, 0.2077, 0.0000], [0.7923, 0.7923, 0.5846]],
  "magnetic_moment_mub_per_fu": 0.00
}

***

Which structure is most stable? <ii>, by 25 meV/atom over the runner-up.

***

<i>
{
  "formula": "Cs2WCl7",
  "functional": "GGA-PBE",
  "state": "relaxed",
  "cell": [[8.7839, -3.9666, 0.0000], [8.7839, 3.9666, 0.0000], [-8.2596, 0.0000, 9.8702]],
  "species": ["Cs", "Cs", "Cs", "Cs", "W", "W", "Cl", "Cl", "Cl", "Cl", "Cl", "Cl", "Cl", "Cl", "Cl", "Cl", "Cl", "Cl", "Cl", "Cl"],
  "fractional_positions": [[0.0411, 0.6846, 0.9519], [0.3154, 0.9589, 0.5481], [0.6846, 0.0411, 0.4519], [0.9589, 0.3154, 0.0481], [0.2837, 0.7163, 0.7500], [0.7163, 0.2837, 0.2500], [0.0607, 0.1145, 0.2590], [0.1145, 0.0607, 0.7590], [0.2036, 0.6332, 0.5159], [0.2192, 0.4669, 0.6904], [0.3668, 0.7964, 0.9841], [0.4058, 0.5942, 0.2500], [0.4669, 0.2192, 0.1904], [0.5331, 0.7808, 0.8096], [0.5942, 0.4058, 0.7500], [0.6332, 0.2036, 0.0159], [0.7808, 0.5331, 0.3096], [0.7964, 0.3668, 0.4841], [0.8855, 0.9393, 0.2410], [0.9393, 0.8855, 0.7410]],
  "magnetic_moment_mub_per_fu": 1.00
}

***

<ii>
{
  "formula": "Cs2WCl7",
  "functional": "GGA-PBE",
  "state": "relaxed",
  "cell": [[0.0000, 5.6310, 5.6310], [5.6310, 0.0000, 5.6310], [5.6310, 5.6310, 0.0000]],
  "species": ["Cs", "Cs", "W", "Cl", "Cl", "Cl", "Cl", "Cl", "Cl", "Cl"],
  "fractional_positions": [[0.2500, 0.2500, 0.2500], [0.7500, 0.7500, 0.7500], [0.0000, 0.0000, 0.0000], [0.2094, 0.2094, 0.7906], [0.2094, 0.7906, 0.2094], [0.2094, 0.7906, 0.7906], [0.5000, 0.5000, 0.5000], [0.7906, 0.2094, 0.2094], [0.7906, 0.2094, 0.7906], [0.7906, 0.7906, 0.2094]],
  "magnetic_moment_mub_per_fu": 1.00
}

***

Which structure is most stable? <i>, by 31 meV/atom over the runner-up.

***

<i>
{
  "formula": "Cs2WCl",
  "functional": "GGA-PBE",
  "state": "relaxed",
  "cell": [[0.0000, 4.4770, 4.4770], [4.4770, 0.0000, 4.4770], [4.4770, 4.4770, 0.0000]],
  "species": ["Cs", "Cs", "W", "Cl"],
  "fractional_positions": [[0.2500, 0.2500, 0.2500], [0.7500, 0.7500, 0.7500], [0.0000, 0.0000, 0.0000], [0.5000, 0.5000, 0.5000]],
  "magnetic_moment_mub_per_fu": 5.00
}

***

<ii>
{
  "formula": "Cs2WCl",
  "functional": "GGA-PBE",
  "state": "relaxed",
  "cell": [[-4.7668, 4.7668, 5.1742], [4.7668, -4.7668, 5.1742], [4.7668, 4.7668, -5.1742]],
  "species": ["Cs", "Cs", "Cs", "Cs", "W", "W", "Cl", "Cl"],
  "fractional_positions": [[0.0789, 0.1250, 0.4539], [0.3750, 0.9211, 0.0461], [0.6711, 0.6250, 0.5461], [0.8750, 0.3289, 0.9539], [0.2500, 0.7500, 0.5000], [0.5000, 0.5000, 0.0000], [0.0000, 0.0000, 0.0000], [0.7500, 0.2500, 0.5000]],
  "magnetic_moment_mub_per_fu": 5.02
}

***

Which structure is most stable? <ii>, by 12 meV/atom over the runner-up.

***

<i>
{
  "formula": "CsW3Cl",
  "functional": "GGA-PBE",
  "state": "relaxed",
  "cell": [[5.0232, 0.0000, 0.0000], [0.0000, 5.0232, 0.0000], [0.0000, 0.0000, 5.0232]],
  "species": ["Cs", "W", "W", "W", "Cl"],
  "fractional_positions": [[0.0000, 0.0000, 0.0000], [0.0000, 0.0000, 0.5000], [0.0000, 0.5000, 0.0000], [0.5000, 0.0000, 0.0000], [0.5000, 0.5000, 0.5000]],
  "magnetic_moment_mub_per_fu": 0.60
}

***

<ii>
{
  "formula": "CsW3Cl",
  "functional": "GGA-PBE",
  "state": "relaxed",
  "cell": [[4.6735, 0.0000, 0.0000], [0.0000, 4.6735, 0.0000], [0.0000, 0.0000, 4.6735]],
  "species": ["Cs", "W", "W", "W", "Cl"],
  "fractional_positions": [[0.0000, 0.0000, 0.0000], [0.0000, 0.5000, 0.5000], [0.5000, 0.0000, 0.5000], [0.5000, 0.5000, 0.0000], [0.5000, 0.5000, 0.5000]],
  "magnetic_moment_mub_per_fu": 0.00
}

***

Which structure is most stable? <ii>, by 1701 meV/atom over the runner-up.

***

<i>
{
  "formula": "Cs2YCl2",
  "functional": "GGA-PBE",
  "state": "relaxed",
  "cell": [[10.3492, 0.0000, 0.0000], [0.0000, 10.3492, 0.0000], [0.0000, 0.0000, 3.8183]],
  "species": ["Cs", "Cs", "Cs", "Cs", "Y", "Y", "Cl", "Cl", "Cl", "Cl"],
  "fractional_positions": [[0.1415, 0.3585, 0.0000], [0.3585, 0.8585, 0.0000], [0.6415, 0.1415, 0.0000], [0.8585, 0.6415, 0.0000], [0.0000, 0.0000, 0.0000], [0.5000, 0.5000, 0.0000], [0.1499, 0.6499, 0.5000], [0.3501, 0.1499, 0.5000], [0.6499, 0.8501, 0.5000], [0.8501, 0.3501, 0.5000]],
  "magnetic_moment_mub_per_fu": 1.53
}

***

<ii>
{
  "formula": "Cs2YCl2",
  "functional": "GGA-PBE",
  "state": "relaxed",
  "cell": [[-3.1443, 3.1443, 6.9720], [3.1443, -3.1443, 6.9720], [3.1443, 3.1443, -6.9720]],
  "species": ["Cs", "Cs", "Y", "Cl", "Cl"],
  "fractional_positions": [[0.1637, 0.1637, 0.0000], [0.8363, 0.8363, 0.0000], [0.5000, 0.5000, 0.0000], [0.2500, 0.7500, 0.5000], [0.7500, 0.2500, 0.5000]],
  "magnetic_moment_mub_per_fu": 1.00
}

***

Which structure is most stable? <i>, by 69 meV/atom over the runner-up.

***

<i>
{
  "formula": "CsY2Cl7",
  "functional": "GGA-PBE",
  "state": "relaxed",
  "cell": [[14.3835, 0.0000, 0.0000], [0.0000, 7.0343, 0.0000], [0.0000, 0.0000, 12.7544]],
  "species": ["Cs", "Cs", "Cs", "Cs", "Y", "Y", "Y", "Y", "Y", "Y", "Y", "Y", "Cl", "Cl", "Cl", "Cl", "Cl", "Cl", "Cl", "Cl", "Cl", "Cl", "Cl", "Cl", "Cl", "Cl", "Cl", "Cl", "Cl", "Cl", "Cl", "Cl", "Cl", "Cl", "Cl", "Cl", "Cl", "Cl", "Cl", "Cl"],
  "fractional_positions": [[0.0315, 0.2500, 0.2066], [0.4685, 0.7500, 0.7066], [0.5315, 0.2500, 0.2934], [0.9685, 0.7500, 0.7934], [0.2434, 0.2500, 0.5519], [0.2470, 0.2500, 0.8556], [0.2530, 0.7500, 0.3556], [0.2566, 0.7500, 0.0519], [0.7434, 0.2500, 0.9481], [0.7470, 0.2500, 0.6444], [0.7530, 0.7500, 0.1444], [0.7566, 0.7500, 0.4481], [0.1176, 0.7500, 0.2027], [0.1346, 0.0102, 0.4367], [0.1346, 0.4898, 0.4367], [0.1360, 0.0097, 0.9705], [0.1360, 0.4903, 0.9705], [0.1808, 0.0117, 0.7043], [0.1808, 0.4883, 0.7043], [0.3192, 0.5117, 0.2043], [0.3192, 0.9883, 0.2043], [0.3640, 0.5097, 0.4705], [0.3640, 0.9903, 0.4705], [0.3654, 0.5102, 0.9367], [0.3654, 0.9898, 0.9367], [0.3824, 0.2500, 0.7027], [0.6176, 0.7500, 0.2973], [0.6346, 0.0102, 0.0633], [0.6346, 0.4898, 0.0633], [0.6360, 0.0097, 0.5295], [0.6360, 0.4903, 0.5295], [0.6808, 0.0117, 0.7957], [0.6808, 0.4883, 0.7957], [0.8192, 0.5117, 0.2957], [0.8192, 0.9883, 0.2957], [0.8640, 0.5097, 0.0295], [0.8640, 0.9903, 0.0295], [0.8654, 0.5102, 0.5633], [0.8654, 0.9898, 0.5633], [0.8824, 0.2500, 0.7973]],
  "magnetic_moment_mub_per_fu": 0.00
}

***

<ii>
{
  "formula": "CsY2Cl7",
  "functional": "GGA-PBE",
  "state": "relaxed",
  "cell": [[4.2524, -6.9511, 0.0000], [4.2524, 6.9511, 0.0000], [0.0000, 0.0000, 5.3410]],
  "species": ["Cs", "Y", "Y", "Cl", "Cl", "Cl", "Cl", "Cl", "Cl", "Cl"],
  "fractional_positions": [[0.0000, 0.0000, 0.0000], [0.3041, 0.6959, 0.5000], [0.6959, 0.3041, 0.5000], [0.0460, 0.3304, 0.5000], [0.2974, 0.7026, 0.0000], [0.3304, 0.0460, 0.5000], [0.5000, 0.5000, 0.5000], [0.6696, 0.9540, 0.5000], [0.7026, 0.2974, 0.0000], [0.9540, 0.6696, 0.5000]],
  "magnetic_moment_mub_per_fu": 0.00
}

***

Which structure is most stable? <i>, by 35 meV/atom over the runner-up.

***

<i>
{
  "formula": "CsZn2Cl",
  "functional": "GGA-PBE",
  "state": "relaxed",
  "cell": [[-4.8892, 4.8892, 3.2796], [4.8892, -4.8892, 3.2796], [4.8892, 4.8892, -3.2796]],
  "species": ["Cs", "Cs", "Zn", "Zn", "Zn", "Zn", "Cl", "Cl"],
  "fractional_positions": [[0.0000, 0.0000, 0.0000], [0.7500, 0.2500, 0.5000], [0.1680, 0.6250, 0.0430], [0.3750, 0.4180, 0.5430], [0.5820, 0.1250, 0.9570], [0.8750, 0.8320, 0.4570], [0.2500, 0.7500, 0.5000], [0.5000, 0.5000, 0.0000]],
  "magnetic_moment_mub_per_fu": 0.00
}

***

<ii>
{
  "formula": "CsZn2Cl",
  "functional": "GGA-PBE",
  "state": "relaxed",
  "cell": [[0.0000, 4.1985, 4.1985], [4.1985, 0.0000, 4.1985], [4.1985, 4.1985, 0.0000]],
  "species": ["Cs", "Zn", "Zn", "Cl"],
  "fractional_positions": [[0.0000, 0.0000, 0.0000], [0.2500, 0.2500, 0.2500], [0.7500, 0.7500, 0.7500], [0.5000, 0.5000, 0.5000]],
  "magnetic_moment_mub_per_fu": 0.00
}

***

Which structure is most stable? <i>, by 85 meV/atom over the runner-up.